DFT (PBE) results for an optimized crystal structure of Ac6PrY5.

Properties
SG	Immm, No. 71
E_form	0.037	eV per atom

a = 10.065 Å, b = 10.065 Å, c = 10.065 Å
α = 148.34°, β = 119.08°, γ = 70.29°
Element x y z (fractional)
Ac1 0.081 0.333 0.748
Ac2 0.246 0.000 0.246
Ac3 0.415 0.667 0.748
Ac4 0.585 0.333 0.252
Ac5 0.754 0.000 0.754
Ac6 0.919 0.667 0.252
Pr1 0.500 0.500 0.000
Y1 0.000 0.500 0.500
Y2 0.168 0.168 0.000
Y3 0.334 0.834 0.500
Y4 0.666 0.166 0.500
Y5 0.832 0.832 0.000